(1)
Zn2SiPt | Alexandria | PBEsol | relaxed; ΔE_f (raw) = -0.11 eV/atom; DFT total energy = -4.078 eV per atom; symmetry = No. 123
1.0
2.7471 0.0000 0.0000
0.0000 2.7471 0.0000
0.0000 0.0000 7.7738
Zn Si Pt
2 1 1
Cartesian
0.0000 0.0000 1.8124
0.0000 0.0000 5.9614
1.3735 1.3735 3.8869
1.3735 1.3735 0.0000

=====

(2)
Zn2SiPt | Alexandria | PBEsol | relaxed; ΔE_f (raw) = -0.24 eV/atom; DFT total energy = -4.205 eV per atom; symmetry = No. 8
1.0
4.2430 -1.4563 0.0000
4.2430 1.4563 0.0000
-0.6370 0.0000 4.5537
Zn Si Pt
2 1 1
Cartesian
0.0000 0.0000 0.0000
1.6075 0.0000 3.5454
6.2633 0.0000 1.2842
3.8978 0.0000 2.2539

=====

(3)
ZnSi2Pt | Alexandria | PBEsol | relaxed; ΔE_f (raw) = 0.03 eV/atom; DFT total energy = -4.976 eV per atom; symmetry = No. 216
1.0
0.0000 3.0660 3.0660
3.0660 0.0000 3.0660
3.0660 3.0660 0.0000
Zn Si Pt
1 2 1
Cartesian
0.0000 0.0000 0.0000
1.5330 1.5330 1.5330
3.0660 3.0660 3.0660
4.5990 4.5990 4.5990

=====

(4)
Zn2SiPt | Alexandria | PBEsol | relaxed; ΔE_f (raw) = -0.25 eV/atom; DFT total energy = -4.221 eV per atom; symmetry = No. 47
1.0
3.1869 0.0000 0.0000
0.0000 3.5562 0.0000
0.0000 0.0000 4.9802
Zn Si Pt
2 1 1
Cartesian
0.0000 0.0000 1.2420
0.0000 0.0000 3.7382
1.5935 1.7781 0.0000
1.5935 1.7781 2.4901

=====

(5)
ZnSi3Pt | Alexandria | PBEsol | relaxed; ΔE_f (raw) = 0.99 eV/atom; DFT total energy = -4.167 eV per atom; symmetry = No. 221
1.0
4.4664 0.0000 0.0000
0.0000 4.4664 0.0000
0.0000 0.0000 4.4664
Zn Si Pt
1 3 1
Cartesian
0.0000 0.0000 0.0000
0.0000 0.0000 2.2332
0.0000 2.2332 0.0000
2.2332 0.0000 0.0000
2.2332 2.2332 2.2332

=====

(6)
Zr2Si2Pt | Alexandria | PBEsol | relaxed; ΔE_f (raw) = -1.10 eV/atom; DFT total energy = -8.425 eV per atom; symmetry = No. 127
1.0
6.3483 0.0000 0.0000
0.0000 6.3483 0.0000
0.0000 0.0000 4.0861
Zr Si Pt
4 4 2
Cartesian
1.0829 2.0913 0.0000
2.0913 5.2654 0.0000
4.2570 1.0829 0.0000
5.2654 4.2570 0.0000
0.8333 4.0075 2.0430
2.3408 0.8333 2.0430
4.0075 5.5149 2.0430
5.5149 2.3408 2.0430
0.0000 0.0000 2.0430
3.1741 3.1741 2.0430

=====

(7)
ZrSiPt2 | Alexandria | PBEsol | relaxed; ΔE_f (raw) = -0.41 eV/atom; DFT total energy = -7.605 eV per atom; symmetry = No. 160
1.0
1.4515 0.8380 8.7389
-1.4515 0.8380 8.7389
0.0000 -1.6760 8.7389
Zr Si Pt
1 1 2
Cartesian
0.0000 0.0000 0.0000
0.0000 0.0000 6.4366
0.0000 0.0000 13.3599
0.0000 0.0000 19.7418

=====

(8)
ZrSiPt2 | Alexandria | PBEsol | relaxed; ΔE_f (raw) = -0.82 eV/atom; DFT total energy = -8.007 eV per atom; symmetry = No. 139
1.0
-1.9529 1.9529 4.1469
1.9529 -1.9529 4.1469
1.9529 1.9529 -4.1469
Zr Si Pt
1 1 2
Cartesian
0.0000 0.0000 0.0000
0.0000 0.0000 4.1469
1.9529 0.0000 2.0735
0.0000 1.9529 2.0735

=====

(9)
ZrSiPt2 | Alexandria | PBEsol | relaxed; ΔE_f (raw) = -0.79 eV/atom; DFT total energy = -7.977 eV per atom; symmetry = No. 38
1.0
3.8926 0.0000 0.0000
0.0000 1.5922 5.2616
0.0000 -1.5922 5.2616
Zr Si Pt
1 1 2
Cartesian
0.0000 0.0000 0.0000
1.9463 0.0000 4.0521
0.0000 0.0000 2.7730
1.9463 0.0000 6.6213

=====

(10)
SmPt3 | Alexandria | PBEsol | relaxed; E_form = -898 meV/atom; DFT total energy = -7.393 eV per atom; symmetry = No. 221
1.0
4.1046 0.0000 0.0000
0.0000 4.1046 0.0000
0.0000 0.0000 4.1046
Sm Pt
1 3
Cartesian
0.0000 0.0000 0.0000
0.0000 2.0523 2.0523
2.0523 0.0000 2.0523
2.0523 2.0523 0.0000

=====

(11)
SmPt | Alexandria | PBEsol | relaxed; E_form = -1147 meV/atom; DFT total energy = -7.174 eV per atom; symmetry = No. 62
1.0
7.1071 0.0000 0.0000
0.0000 4.5175 0.0000
0.0000 0.0000 5.5930
Sm Pt
4 4
Cartesian
1.2926 1.1294 0.7798
2.2610 3.3881 3.5763
4.8462 1.1294 2.0167
5.8145 3.3881 4.8132
0.3063 1.1294 3.6488
3.2473 3.3881 0.8523
3.8599 1.1294 4.7407
6.8008 3.3881 1.9442

=====

(12)
Sn3Pt2 | Alexandria | PBEsol | relaxed; E_form = -518 meV/atom; DFT total energy = -5.859 eV per atom; symmetry = No. 194
1.0
4.3523 0.0000 0.0000
-2.1761 3.7692 0.0000
0.0000 0.0000 12.9781
Sn Pt
6 4
Cartesian
0.0000 0.0000 3.2445
0.0000 0.0000 9.7336
0.0000 2.5128 0.9240
0.0000 2.5128 5.5651
2.1761 1.2564 7.4130
2.1761 1.2564 12.0542
0.0000 2.5128 8.3525
0.0000 2.5128 11.1146
2.1761 1.2564 1.8635
2.1761 1.2564 4.6256

=====

(13)
Sn4Pt | Alexandria | PBEsol | relaxed; E_form = -313 meV/atom; DFT total energy = -5.114 eV per atom; symmetry = No. 68
1.0
3.2048 -5.6659 0.0000
3.2048 5.6659 0.0000
0.0000 0.0000 6.4051
Sn Pt
8 2
Cartesian
1.0560 1.4014 0.5372
2.1488 1.4014 3.7398
1.0560 -1.4014 3.7398
2.1488 -1.4014 0.5372
4.2607 1.4014 5.8679
5.3536 1.4014 2.6653
4.2607 -1.4014 2.6653
5.3536 -1.4014 5.8679
3.2048 2.8329 1.6013
3.2048 -2.8329 4.8038

=====

(14)
SnPt | Alexandria | PBEsol | relaxed; E_form = -585 meV/atom; DFT total energy = -6.196 eV per atom; symmetry = No. 194
1.0
4.1217 0.0000 0.0000
-2.0609 3.5695 0.0000
0.0000 0.0000 5.4265
Sn Pt
2 2
Cartesian
0.0000 2.3797 1.3566
2.0609 1.1898 4.0699
0.0000 0.0000 0.0000
0.0000 0.0000 2.7133

=====

(15)
SrZr2SnPt | Alexandria | PBEsol | relaxed; E_form = 577 meV/atom; DFT total energy = -5.671 eV per atom; symmetry = No. 123
1.0
5.3430 0.0000 0.0000
0.0000 5.3430 0.0000
0.0000 0.0000 5.0007
Sr Zr Sn Pt
1 2 1 1
Cartesian
0.0000 0.0000 0.0000
0.0000 2.6715 2.5004
2.6715 0.0000 2.5004
2.6715 2.6715 2.5004
2.6715 2.6715 0.0000

=====

(16)
TbSnPt | Alexandria | PBEsol | relaxed; E_form = -1093 meV/atom; DFT total energy = -6.504 eV per atom; symmetry = No. 62
1.0
7.1266 0.0000 0.0000
0.0000 4.5270 0.0000
0.0000 0.0000 7.9222
Tb Sn Pt
4 4 4
Cartesian
0.0752 1.1318 1.5482
3.4881 3.3953 5.5093
3.6385 1.1318 2.4129
7.0514 3.3953 6.3740
1.2641 1.1318 4.6239
2.2992 3.3953 0.6628
4.8274 1.1318 7.2593
5.8626 3.3953 3.2982
1.5523 3.3953 3.2455
2.0111 1.1318 7.2066
5.1156 3.3953 0.7155
5.5744 1.1318 4.6766

=====

(17)
TbSnPt | Alexandria | PBEsol | relaxed; E_form = -1122 meV/atom; DFT total energy = -6.533 eV per atom; symmetry = No. 189
1.0
7.4206 0.0000 0.0000
-3.7103 6.4264 0.0000
0.0000 0.0000 3.9805
Tb Sn Pt
3 3 3
Cartesian
-2.2013 3.8128 0.0000
1.5089 2.6136 0.0000
4.4027 0.0000 0.0000
-0.9588 1.6607 1.9902
1.9176 0.0000 1.9902
2.7515 4.7657 1.9902
0.0000 0.0000 0.0000
0.0000 4.2843 1.9902
3.7103 2.1421 1.9902

=====

(18)
TbSnPt2 | Alexandria | PBEsol | relaxed; E_form = -1007 meV/atom; DFT total energy = -6.806 eV per atom; symmetry = No. 194
1.0
4.5089 0.0000 0.0000
-2.2544 3.9048 0.0000
0.0000 0.0000 8.9606
Tb Sn Pt
2 2 4
Cartesian
0.0000 2.6032 2.2401
2.2544 1.3016 6.7204
0.0000 0.0000 0.0000
0.0000 0.0000 4.4803
0.0000 2.6032 5.2750
0.0000 2.6032 8.1659
2.2544 1.3016 0.7947
2.2544 1.3016 3.6856

=====

(19)
Tc2SnTePt | Alexandria | PBEsol | relaxed; ΔE_f (raw) = 1.50 eV/atom; DFT total energy = -5.953 eV per atom; symmetry = No. 123
1.0
4.8137 0.0000 0.0000
0.0000 4.8137 0.0000
0.0000 0.0000 5.2036
Tc Sn Te Pt
2 1 1 1
Cartesian
0.0000 2.4069 0.0000
2.4069 0.0000 0.0000
0.0000 0.0000 2.6018
2.4069 2.4069 2.6018
2.4069 2.4069 0.0000

=====

(20)
SnTePt3 | Alexandria | PBEsol | relaxed; ΔE_f (raw) = 0.62 eV/atom; DFT total energy = -5.112 eV per atom; symmetry = No. 221
1.0
4.9144 0.0000 0.0000
0.0000 4.9144 0.0000
0.0000 0.0000 4.9144
Sn Te Pt
1 1 3
Cartesian
0.0000 0.0000 0.0000
2.4572 2.4572 2.4572
0.0000 2.4572 2.4572
2.4572 0.0000 2.4572
2.4572 2.4572 0.0000